PBE Li5In4, optimized geometry; SG = I4/mmm; formation enthalpy at 0 K = -0.23 eV/atom; N(E_F) = 3.29 states/eV per cell; distance to the lowest polymorph of the same formula = 0.058 eV per atom
1.0
-3.345 2.138 2.121
0.423 -1.191 6.644
2.045 6.206 1.745
Li In
5 4
Cartesian
-1.476 3.063 4.137
0.598 4.089 6.373
0.944 1.187 5.069
1.523 3.827 3.320
0.000 0.000 0.000
-0.421 2.798 1.291
-0.879 5.546 2.575
-0.967 0.308 2.940
-1.955 0.639 5.825